Record 1
This record from the Alexandria database describes an optimized crystal structure of TcSbAu. The functional is PBE-GGA.

Summary:
ΔE to the lowest computed polymorph   0.083 eV/atom

Cell and atoms, written as POSCAR:
```
TcSbAu
1.0
0.000 3.150 3.150
3.150 0.000 3.150
3.150 3.150 0.000
Tc Sb Au
1 1 1
Cartesian
0.000 0.000 0.000 Tc
1.575 1.575 1.575 Sb
4.726 4.726 4.726 Au
```

***

Record 2
This record from the Alexandria database describes an optimized crystal structure of BaVS2. The functional is PBE-GGA.

Summary:
ΔE to the lowest computed polymorph   0.409 eV/atom

Cell and atoms, written as POSCAR:
```
BaVS2
1.0
2.448 1.413 7.411
-2.448 1.413 7.411
0.000 -2.827 7.411
Ba V S
1 1 2
Cartesian
0.000 0.000 0.000 Ba
0.000 0.000 11.117 V
0.000 0.000 8.881 S
0.000 0.000 13.353 S
```

***

Record 3
This record from the Alexandria database describes an optimized crystal structure of CsPuGa2Sb2. The functional is PBE-GGA.

Cell and atoms, written as POSCAR:
```
CsPuGa2Sb2
1.0
4.414 0.000 0.000
-2.207 3.823 0.000
0.000 0.000 11.076
Cs Pu Ga Sb
1 1 2 2
Cartesian
0.000 0.000 0.000 Cs
0.000 0.000 5.538 Pu
0.000 2.549 7.064 Ga
2.207 1.274 4.011 Ga
0.000 2.549 2.895 Sb
2.207 1.274 8.181 Sb
```

***

Calculated uncorrected formation energy, 0.292 -0.820 -0.349 eV per atom (same order as the records).